[1]
Below is a relaxed CeTh2Os9 crystal, with properties calculated at the PBE-GGA level.

Lattice parameters (Å, degrees): 5.347 5.347 9.480 73.62 73.62 60.00
Positions (direct):
Ce 0.000 0.000 0.000
Th 0.860 0.860 0.420
Th 0.140 0.140 0.580
Os 0.663 0.663 0.012
Os 0.337 0.337 0.988
Os 0.500 0.500 0.500
Os 0.416 0.416 0.243
Os 0.925 0.416 0.243
Os 0.416 0.925 0.243
Os 0.584 0.584 0.757
Os 0.584 0.075 0.757
Os 0.075 0.584 0.757

Results
Formation enthalpy at 0 K = -7.1 kJ per mole of atoms

***

[2]
Below is a relaxed Ce3ThOs8 crystal, with properties calculated at the PBE-GGA level.

Lattice parameters (Å, degrees): 5.411 5.411 9.380 73.21 73.21 59.98
Positions (direct):
Ce 0.375 0.375 0.875
Ce 0.001 0.001 0.997
Ce 0.499 0.499 0.503
Th 0.875 0.875 0.375
Os 0.939 0.438 0.186
Os 0.436 0.937 0.689
Os 0.438 0.438 0.186
Os 0.937 0.937 0.689
Os 0.187 0.187 0.438
Os 0.687 0.687 0.938
Os 0.438 0.939 0.186
Os 0.937 0.436 0.689

Results
Formation enthalpy at 0 K = -23.2 kJ per mole of atoms

***

[3]
Below is a relaxed CeTh3Os2 crystal, with properties calculated at the PBE-GGA level.

Lattice parameters (Å, degrees): 6.495 7.265 7.856 105.71 90.00 116.55
Positions (direct):
Ce 0.248 0.000 0.250
Ce 0.752 0.000 0.750
Th 0.246 0.000 0.750
Th 0.754 0.000 0.250
Th 0.788 0.573 0.893
Th 0.215 0.427 0.607
Th 0.785 0.573 0.393
Th 0.212 0.427 0.107
Os 0.374 0.748 0.437
Os 0.374 0.748 0.937
Os 0.626 0.252 0.063
Os 0.626 0.252 0.563

Results
Formation enthalpy at 0 K = -22.9 kJ per mole of atoms

***

[4]
Below is a relaxed CeTh2Os3 crystal, with properties calculated at the PBE-GGA level.

Lattice parameters (Å, degrees): 5.628 7.066 7.066 80.63 90.00 90.00
Positions (direct):
Ce 0.751 0.894 0.894
Ce 0.251 0.106 0.106
Th 0.611 0.809 0.429
Th 0.111 0.571 0.191
Th 0.611 0.429 0.809
Th 0.111 0.191 0.571
Os 0.110 0.794 0.493
Os 0.610 0.507 0.206
Os 0.110 0.493 0.794
Os 0.610 0.206 0.507
Os 0.263 0.842 0.842
Os 0.763 0.158 0.158

Results
Formation enthalpy at 0 K = 1.1 kJ per mole of atoms

***

[5]
Below is a relaxed Ce2ThOs2 crystal, with properties calculated at the PBE-GGA level.

Lattice parameters (Å, degrees): 4.414 6.114 9.037 89.72 90.00 90.00
Positions (direct):
Ce 0.250 0.869 0.868
Ce 0.750 0.131 0.132
Ce 0.250 0.151 0.507
Ce 0.750 0.849 0.493
Th 0.250 0.586 0.233
Th 0.750 0.414 0.767
Os 0.250 0.619 0.595
Os 0.750 0.381 0.405
Os 0.250 0.320 0.968
Os 0.750 0.680 0.032

Results
Formation enthalpy at 0 K = -18.8 kJ per mole of atoms

***

[6]
Below is a relaxed Ce3ThOs2 crystal, with properties calculated at the PBE-GGA level.

Lattice parameters (Å, degrees): 4.430 8.588 8.686 116.85 90.00 104.94
Positions (direct):
Ce 0.287 0.574 0.633
Ce 0.925 0.850 0.583
Ce 0.622 0.243 0.689
Ce 0.378 0.757 0.311
Ce 0.075 0.150 0.417
Ce 0.713 0.426 0.367
Th 0.890 0.779 0.977
Th 0.110 0.221 0.023
Os 0.478 0.957 0.811
Os 0.522 0.043 0.189
Os 0.766 0.532 0.112
Os 0.234 0.468 0.888

Results
Formation enthalpy at 0 K = -15.0 kJ per mole of atoms

***

[7]
Below is a relaxed Ce2ThOs crystal, with properties calculated at the PBE-GGA level.

Lattice parameters (Å, degrees): 6.077 7.058 9.872 90.00 90.00 90.00
Positions (direct):
Ce 0.145 0.672 0.058
Ce 0.355 0.172 0.442
Ce 0.855 0.328 0.558
Ce 0.645 0.828 0.942
Ce 0.855 0.328 0.942
Ce 0.645 0.828 0.558
Ce 0.145 0.672 0.442
Ce 0.355 0.172 0.058
Th 0.641 0.538 0.250
Th 0.859 0.038 0.250
Th 0.359 0.462 0.750
Th 0.141 0.962 0.750
Os 0.104 0.383 0.250
Os 0.396 0.883 0.250
Os 0.896 0.617 0.750
Os 0.604 0.117 0.750

Results
Formation enthalpy at 0 K = -16.8 kJ per mole of atoms

***

[8]
Below is a relaxed CeThOs4 crystal, with properties calculated at the PBE-GGA level.

Lattice parameters (Å, degrees): 5.430 5.430 5.430 60.00 60.00 60.00
Positions (direct):
Os 0.625 0.625 0.124
Os 0.625 0.124 0.625
Os 0.625 0.625 0.625
Os 0.124 0.625 0.625
Ce 0.000 0.000 0.000
Th 0.250 0.250 0.250

Results
Formation enthalpy at 0 K = -23.7 kJ per mole of atoms

***

[9]
Below is a relaxed CeTh2Os2 crystal, with properties calculated at the PBE-GGA level.

Lattice parameters (Å, degrees): 3.977 6.257 6.110 63.09 71.01 71.47
Positions (direct):
Ce 0.500 0.500 0.000
Th 0.691 0.812 0.306
Th 0.309 0.188 0.694
Os 0.037 0.177 0.250
Os 0.963 0.823 0.750

Results
Formation enthalpy at 0 K = -23.7 kJ per mole of atoms

***

[10]
Below is a relaxed Ce2Th5Os4 crystal, with properties calculated at the PBE-GGA level.

Lattice parameters (Å, degrees): 5.151 5.011 11.338 106.10 103.13 90.00
Positions (direct):
Ce 0.915 0.705 0.831
Ce 0.085 0.295 0.169
Th 0.196 0.933 0.392
Th 0.804 0.067 0.608
Th 0.310 0.576 0.620
Th 0.500 0.000 0.000
Th 0.690 0.424 0.380
Os 0.618 0.813 0.236
Os 0.052 0.750 0.104
Os 0.382 0.187 0.764
Os 0.948 0.250 0.896

Results
Formation enthalpy at 0 K = 3.9 kJ per mole of atoms

***

[11]
Below is a relaxed Ce2ThOs crystal, with properties calculated at the PBE-GGA level.

Lattice parameters (Å, degrees): 3.669 3.669 10.399 79.84 79.84 60.00
Positions (direct):
Os 0.500 0.500 0.500
Ce 0.109 0.109 0.672
Ce 0.891 0.891 0.328
Th 0.000 0.000 0.000

Results
Formation enthalpy at 0 K = 28.0 kJ per mole of atoms

***

[12]
Below is a relaxed CeTh3Os8 crystal, with properties calculated at the PBE-GGA level.

Lattice parameters (Å, degrees): 5.446 5.446 9.441 73.24 73.24 60.00
Positions (direct):
Ce 0.875 0.875 0.376
Th 0.375 0.375 0.875
Th 0.999 0.999 0.003
Th 0.501 0.501 0.497
Os 0.937 0.437 0.189
Os 0.439 0.938 0.686
Os 0.437 0.437 0.189
Os 0.938 0.938 0.686
Os 0.188 0.188 0.437
Os 0.688 0.688 0.937
Os 0.437 0.937 0.189
Os 0.938 0.439 0.686

Results
Formation enthalpy at 0 K = -24.0 kJ per mole of atoms

***

[13]
Below is a relaxed Ce2ThOs crystal, with properties calculated at the PBE-GGA level.

Lattice parameters (Å, degrees): 3.849 3.849 9.253 78.00 78.00 60.00
Positions (direct):
Ce 0.061 0.061 0.818
Ce 0.273 0.273 0.182
Th 0.501 0.501 0.498
Os 0.666 0.666 0.002

Results
Formation enthalpy at 0 K = 8.4 kJ per mole of atoms

***

[14]
Below is a relaxed Ce4Th3Os4 crystal, with properties calculated at the PBE-GGA level.

Lattice parameters (Å, degrees): 4.420 7.919 8.926 116.33 104.33 90.00
Positions (direct):
Ce 0.333 0.121 0.667
Ce 0.667 0.454 0.333
Ce 0.667 0.879 0.333
Ce 0.333 0.546 0.667
Th 0.100 0.100 0.200
Th 0.900 0.900 0.800
Th 0.000 0.500 0.000
Os 0.206 0.706 0.412
Os 0.794 0.294 0.588
Os 0.500 0.807 0.000
Os 0.500 0.193 0.000

Results
Formation enthalpy at 0 K = -15.9 kJ per mole of atoms

***

[15]
Below is a relaxed Ce2ThOs2 crystal, with properties calculated at the PBE-GGA level.

Lattice parameters (Å, degrees): 4.031 6.588 9.808 81.86 78.14 72.19
Positions (direct):
Ce 0.053 0.592 0.301
Ce 0.178 0.727 0.918
Ce 0.947 0.408 0.699
Ce 0.822 0.273 0.082
Th 0.685 0.976 0.653
Th 0.315 0.024 0.347
Os 0.372 0.688 0.568
Os 0.448 0.190 0.914
Os 0.628 0.312 0.432
Os 0.552 0.810 0.086

Results
Formation enthalpy at 0 K = -14.7 kJ per mole of atoms

***

[16]
Below is a relaxed Ce2ThOs9 crystal, with properties calculated at the PBE-GGA level.

Lattice parameters (Å, degrees): 5.334 5.334 9.316 73.18 73.18 61.72
Positions (direct):
Ce 0.863 0.863 0.423
Ce 0.137 0.137 0.577
Th 0.000 0.000 0.000
Os 0.638 0.638 0.005
Os 0.362 0.362 0.995
Os 0.500 0.500 0.500
Os 0.404 0.404 0.261
Os 0.918 0.425 0.238
Os 0.425 0.918 0.238
Os 0.596 0.596 0.739
Os 0.575 0.082 0.762
Os 0.082 0.575 0.762

Results
Formation enthalpy at 0 K = -9.1 kJ per mole of atoms

***

[17]
Below is a relaxed Ce2ThOs crystal, with properties calculated at the PBE-GGA level.

Lattice parameters (Å, degrees): 3.535 3.535 7.974 90.00 90.00 90.00
Positions (direct):
Os 0.500 0.500 0.000
Ce 0.000 0.000 0.793
Ce 0.000 0.000 0.207
Th 0.500 0.500 0.500

Results
Formation enthalpy at 0 K = -4.4 kJ per mole of atoms

***

[18]
Below is a relaxed Ce4ThOs2 crystal, with properties calculated at the PBE-GGA level.

Lattice parameters (Å, degrees): 4.642 4.717 8.074 106.98 90.00 90.00
Positions (direct):
Ce 0.500 0.813 0.626
Ce 0.000 0.680 0.360
Ce 0.500 0.187 0.374
Ce 0.000 0.320 0.640
Th 0.000 0.000 0.000
Os 0.500 0.583 0.166
Os 0.500 0.417 0.834

Results
Formation enthalpy at 0 K = -0.5 kJ per mole of atoms

***

[19]
Below is a relaxed CeTh2Os2 crystal, with properties calculated at the PBE-GGA level.

Lattice parameters (Å, degrees): 4.014 6.558 10.040 91.34 78.47 72.18
Positions (direct):
Ce 0.661 0.039 0.640
Ce 0.339 0.961 0.360
Th 0.654 0.393 0.299
Th 0.915 0.259 0.912
Th 0.346 0.607 0.701
Th 0.085 0.741 0.088
Os 0.060 0.313 0.567
Os 0.640 0.821 0.898
Os 0.940 0.687 0.433
Os 0.360 0.179 0.102

Results
Formation enthalpy at 0 K = -22.0 kJ per mole of atoms

***

[20]
Below is a relaxed Ce3Th3Tl2Os crystal, with properties calculated at the PBE-GGA level.

Lattice parameters (Å, degrees): 3.785 8.889 8.889 120.00 90.00 90.00
Positions (direct):
Ce 0.000 0.609 0.609
Ce 0.000 0.000 0.391
Ce 0.000 0.391 0.000
Th 0.500 0.755 0.000
Th 0.500 0.000 0.755
Th 0.500 0.245 0.245
Tl 0.500 0.667 0.333
Tl 0.500 0.333 0.667
Os 0.000 0.000 0.000

Results
Formation enthalpy at 0 K = -20.5 kJ per mole of atoms

***

[21]
Below is a relaxed CeTh3TlOs crystal, with properties calculated at the PBE-GGA level.

Lattice parameters (Å, degrees): 4.487 7.896 9.857 109.06 90.00 90.00
Positions (direct):
Ce 0.250 0.092 0.596
Ce 0.750 0.908 0.404
Th 0.750 0.887 0.073
Th 0.250 0.113 0.927
Th 0.250 0.628 0.452
Th 0.750 0.372 0.548
Th 0.750 0.448 0.138
Th 0.250 0.552 0.862
Tl 0.250 0.174 0.281
Tl 0.750 0.826 0.719
Os 0.250 0.710 0.182
Os 0.750 0.290 0.818

Results
Formation enthalpy at 0 K = -13.5 kJ per mole of atoms

***

[22]
Below is a relaxed CeThZnOs crystal, with properties calculated at the PBE-GGA level.

Lattice parameters (Å, degrees): 5.042 5.042 5.042 60.00 60.00 60.00
Positions (direct):
Zn 0.000 0.000 0.000
Os 0.500 0.500 0.500
Ce 0.250 0.250 0.250
Th 0.750 0.750 0.750

Results
Formation enthalpy at 0 K = -17.4 kJ per mole of atoms

***

[23]
Below is a relaxed Ce2TiOs crystal, with properties calculated at the PBE-GGA level.

Lattice parameters (Å, degrees): 2.966 2.966 10.523 81.90 81.90 60.00
Positions (direct):
Os 0.500 0.500 0.500
Ce 0.089 0.089 0.733
Ce 0.911 0.911 0.267
Ti 0.000 0.000 0.000

Results
Formation enthalpy at 0 K = 29.6 kJ per mole of atoms